# 1
Computed, not measured: a relaxed MnReO2 crystal at the PBE+U level of DFT.

Results
The calculation puts the spin magnetization at 0.34 μB per atom. As for the offset from the most stable computed form: 1305.0 meV/atom. Its density of states at the Fermi level is 0.816 states/eV per atom.

```
data_MnReO2
_chemical_formula_sum 'Mn4 Re4 O8'
_cell_length_a 4.7485
_cell_length_b 4.7485
_cell_length_c 8.7425
_cell_angle_alpha 90.00
_cell_angle_beta 90.00
_cell_angle_gamma 90.00
_symmetry_space_group_name_H-M 'I -4 2 d'
_symmetry_Int_Tables_number 122
_symmetry_space_group_name_Hall 'I -4 2bw'
loop_
_atom_site_label
_atom_site_type_symbol
_atom_site_fract_x
_atom_site_fract_y
_atom_site_fract_z
Mn1 Mn 0.0000 0.0000 0.0000
Re1 Re 0.0000 0.0000 0.5000
O1 O 0.2383 0.2500 0.1250
```

=====

# 2
Computed, not measured: a relaxed MnReO4 crystal at the PBE+U level of DFT.

Results
The calculation puts the spin magnetization at 0.79 μB per atom. As for the offset from the most stable computed form: 12.4 meV/atom. Its density of states at the Fermi level is 0.355 states/eV per atom.

```
data_MnReO4
_chemical_formula_sum 'Mn2 Re2 O8'
_cell_length_a 5.6768
_cell_length_b 4.7565
_cell_length_c 5.6354
_cell_angle_alpha 90.00
_cell_angle_beta 111.48
_cell_angle_gamma 90.00
_symmetry_space_group_name_H-M 'P 1 21/c 1'
_symmetry_Int_Tables_number 14
loop_
_symmetry_equiv_pos_as_xyz
'x,y,z'
'-x,-y,-z'
'-x,y+1/2,-z+1/2'
'x,-y+1/2,z+1/2'
loop_
_atom_site_label
_atom_site_type_symbol
_atom_site_fract_x
_atom_site_fract_y
_atom_site_fract_z
Mn1 Mn 0.0000 0.0000 0.0000
Re1 Re 0.5000 0.0000 0.5000
O1 O 0.1829 0.1761 0.3804
O2 O 0.3736 0.7297 0.6890
```

=====

# 3
Computed, not measured: a relaxed MnReO2 crystal at the PBE+U level of DFT.

Results
The calculation puts the spin magnetization at 1.14 μB per atom. As for the offset from the most stable computed form: 0.0 meV/atom. Its density of states at the Fermi level is 0.460 states/eV per atom.

```
data_MnReO2
_chemical_formula_sum 'Mn3 Re3 O6'
_cell_length_a 2.9168
_cell_length_b 2.9168
_cell_length_c 19.0228
_cell_angle_alpha 90.00
_cell_angle_beta 90.00
_cell_angle_gamma 120.00
_symmetry_space_group_name_H-M 'R -3 m'
_symmetry_Int_Tables_number 166
_symmetry_space_group_name_Hall '-R 3 2"'
loop_
_atom_site_label
_atom_site_type_symbol
_atom_site_fract_x
_atom_site_fract_y
_atom_site_fract_z
Mn1 Mn 0.0000 0.0000 0.0000
Re1 Re 0.0000 0.0000 0.5000
O1 O 0.0000 0.0000 0.3991
```

=====

# 4
Computed, not measured: a relaxed MnReO3 crystal at the PBE+U level of DFT.

Results
The energy is -8.000 eV per atom. The calculation puts the spin magnetization at 1.04 μB per atom. Its density of states at the Fermi level is 0.622 states/eV per atom.

```
data_MnReO3
_chemical_formula_sum 'Mn1 Re1 O3'
_cell_length_a 3.8977
_cell_length_b 3.8977
_cell_length_c 3.8977
_cell_angle_alpha 90.00
_cell_angle_beta 90.00
_cell_angle_gamma 90.00
_symmetry_space_group_name_H-M 'P m -3 m'
_symmetry_Int_Tables_number 221
_symmetry_space_group_name_Hall '-P 4 2 3'
loop_
_atom_site_label
_atom_site_type_symbol
_atom_site_fract_x
_atom_site_fract_y
_atom_site_fract_z
Mn1 Mn 0.0000 0.0000 0.0000
Re1 Re 0.5000 0.5000 0.5000
O1 O 0.0000 0.5000 0.5000
```

=====

# 5
Computed, not measured: a relaxed Mn3ReO crystal at the PBE+U level of DFT.

Results
The calculation puts the spin magnetization at 2.35 μB per atom. As for the offset from the most stable computed form: 65.7 meV/atom. Its density of states at the Fermi level is 0.493 states/eV per atom.

```
data_Mn3ReO
_chemical_formula_sum 'Mn3 Re1 O1'
_cell_length_a 4.9815
_cell_length_b 4.9815
_cell_length_c 4.9815
_cell_angle_alpha 90.00
_cell_angle_beta 90.00
_cell_angle_gamma 90.00
_symmetry_space_group_name_H-M 'P m -3 m'
_symmetry_Int_Tables_number 221
_symmetry_space_group_name_Hall '-P 4 2 3'
loop_
_atom_site_label
_atom_site_type_symbol
_atom_site_fract_x
_atom_site_fract_y
_atom_site_fract_z
Mn1 Mn 0.0000 0.0000 0.5000
Re1 Re 0.0000 0.0000 0.0000
O1 O 0.5000 0.5000 0.5000
```

=====

# 6
Computed, not measured: a relaxed MnRe3O crystal at the PBE+U level of DFT.

Results
The calculation puts the spin magnetization at 0.58 μB per atom. As for the offset from the most stable computed form: 0.0 meV/atom. Its density of states at the Fermi level is 0.771 states/eV per atom.

```
data_MnRe3O
_chemical_formula_sum 'Mn1 Re3 O1'
_cell_length_a 4.1012
_cell_length_b 4.1012
_cell_length_c 4.1012
_cell_angle_alpha 90.00
_cell_angle_beta 90.00
_cell_angle_gamma 90.00
_symmetry_space_group_name_H-M 'P m -3 m'
_symmetry_Int_Tables_number 221
_symmetry_space_group_name_Hall '-P 4 2 3'
loop_
_atom_site_label
_atom_site_type_symbol
_atom_site_fract_x
_atom_site_fract_y
_atom_site_fract_z
Mn1 Mn 0.0000 0.0000 0.0000
Re1 Re 0.0000 0.5000 0.5000
O1 O 0.5000 0.5000 0.5000
```